Ho3TlTc: relaxed, PBE.

Structure (extended XYZ):
```
10
Lattice="-1.249 -3.941 -4.162 1.932 -2.586 4.898 -7.943 2.777 2.374" Properties=species:S:1:pos:R:3 pbc="T T T"
Ho -1.936 -3.479 0.570
Ho 0.382 -2.973 2.905
Ho -7.642 -0.777 0.205
Ho -1.891 -0.051 1.302
Ho -5.324 -0.271 2.539
Ho -5.368 -3.699 1.808
Tc 0.171 -1.632 0.184
Tc 0.512 -4.895 0.552
Tl -2.810 -1.766 3.846
Tl -4.449 -1.984 -0.736
```

The density of states at the Fermi level comes out at 0.85 states/eV per atom. The total energy comes out at -5.48 eV/atom.

Ho5Tl2Tc: relaxed, PBE.

Structure (extended XYZ):
```
16
Lattice="4.986 0.000 0.000 0.000 6.706 0.000 0.000 0.000 12.588" Properties=species:S:1:pos:R:3 pbc="T T T"
Ho 2.493 5.563 5.143
Ho 0.000 3.353 6.294
Ho 0.000 0.000 0.000
Ho 2.493 4.495 11.436
Ho 2.493 1.142 7.445
Ho 0.000 4.123 2.688
Ho 0.000 2.583 9.900
Ho 0.000 5.936 8.981
Ho 2.493 2.211 1.151
Ho 0.000 0.770 3.606
Tl 2.493 2.520 4.358
Tl 2.493 4.186 8.229
Tl 2.493 5.873 1.936
Tl 2.493 0.833 10.652
Tc 0.000 3.353 0.000
Tc 0.000 0.000 6.294
```

The density of states at the Fermi level comes out at 0.73 states/eV per atom. The total energy comes out at -4.97 eV/atom.

Ho5TlTc2: relaxed, PBE.

Structure (extended XYZ):
```
16
Lattice="6.792 0.000 -3.206 -1.514 6.622 -3.206 0.125 0.157 9.064" Properties=species:S:1:pos:R:3 pbc="T T T"
Tc 5.060 4.089 -4.810
Tc 4.016 0.778 -2.357
Tc 0.219 2.533 -1.603
Tc 1.263 5.844 -4.056
Tl 4.022 5.045 -0.278
Tl 1.382 1.734 2.929
Ho 0.908 5.399 -1.136
Ho 1.331 0.372 5.878
Ho 2.699 2.088 -0.021
Ho 4.497 1.380 3.787
Ho 5.865 3.096 -2.113
Ho 0.000 0.000 0.000
Ho -0.460 3.683 4.764
Ho 2.705 4.691 2.672
Ho 2.639 3.311 -3.206
Ho 4.073 6.407 -3.228
```

The density of states at the Fermi level comes out at 1.27 states/eV per atom. The total energy comes out at -5.91 eV/atom.

Ho12Tl6Tc: relaxed, PBE.

Structure (extended XYZ):
```
19
Lattice="-7.635 1.680 -2.681 -1.465 -8.109 0.636 -1.908 1.476 7.905" Properties=species:S:1:pos:R:3 pbc="T T T"
Ho -7.953 -3.989 -1.827
Ho -4.033 -7.268 0.522
Ho -6.975 2.315 5.338
Ho -8.219 1.345 -0.061
Ho -4.485 -3.400 0.802
Ho -3.055 -0.964 7.687
Ho -2.790 -6.298 5.922
Ho -6.523 -1.553 5.058
Ho -5.291 -0.099 2.079
Ho -3.231 -2.353 4.043
Ho -7.777 -2.600 1.817
Ho -5.717 -4.854 3.781
Tl -4.192 0.569 4.940
Tl -6.327 -1.342 -0.686
Tl -4.681 -3.611 6.546
Tl -6.816 -5.522 0.920
Tl -8.270 0.238 3.058
Tl -2.738 -5.191 2.803
Tc 0.000 0.000 0.000
```

The density of states at the Fermi level comes out at 0.97 states/eV per atom. The total energy comes out at -4.28 eV/atom.

Ho2TlTc: relaxed, PBE.

Structure (extended XYZ):
```
4
Lattice="-0.087 2.093 -2.827 2.192 -2.180 -1.681 -6.008 -3.936 -2.730" Properties=species:S:1:pos:R:3 pbc="T T T"
Ho -1.254 -0.822 -0.570
Ho -4.754 -3.115 -2.160
Tl -1.952 -2.011 -3.619
Tc 1.052 -0.043 -2.254
```

The density of states at the Fermi level comes out at 1.09 states/eV per atom. The total energy comes out at -5.67 eV/atom.

Ho2TlTc: relaxed, PBE.

Structure (extended XYZ):
```
4
Lattice="3.486 0.000 0.000 1.743 3.019 0.000 1.743 1.006 10.441" Properties=species:S:1:pos:R:3 pbc="T T T"
Ho 5.229 3.019 3.267
Ho 1.743 1.006 7.174
Tc 3.486 2.013 5.221
Tl 0.000 0.000 0.000
```

The density of states at the Fermi level comes out at 1.19 states/eV per atom. The total energy comes out at -5.32 eV/atom.

Ho4TlTc: relaxed, PBE.

Structure (extended XYZ):
```
12
Lattice="6.174 -0.798 0.000 -2.593 8.718 0.000 -1.790 -3.960 6.435" Properties=species:S:1:pos:R:3 pbc="T T T"
Tl 1.543 -0.200 4.830
Tl 0.247 4.159 1.605
Tc 4.630 -0.599 0.004
Tc -2.840 4.558 6.431
Ho 0.093 0.884 2.167
Ho 2.994 -1.283 2.167
Ho 3.424 1.874 1.005
Ho 3.244 5.646 1.005
Ho -1.454 -1.686 5.430
Ho 1.697 3.076 4.268
Ho -1.633 2.085 5.430
Ho -1.204 5.243 4.268
```

The density of states at the Fermi level comes out at 0.97 states/eV per atom. The total energy comes out at -5.40 eV/atom.

Ho6TlTc2: relaxed, PBE.

Structure (extended XYZ):
```
18
Lattice="8.505 0.039 -0.161 -3.186 7.886 0.161 -2.983 -3.745 7.031" Properties=species:S:1:pos:R:3 pbc="T T T"
Ho -0.222 2.636 5.726
Ho 4.968 -0.984 2.130
Ho -2.632 5.163 4.901
Ho 5.862 1.813 0.059
Ho -2.524 -0.793 5.726
Ho -0.268 0.180 3.175
Ho -0.394 3.661 2.291
Ho 2.558 1.544 1.306
Ho 2.730 0.519 4.740
Ho -3.526 2.366 6.973
Ho 2.604 4.000 3.857
Ho 4.859 4.973 1.306
Tc 3.486 -2.339 4.336
Tc 2.037 -1.367 2.534
Tc 0.394 -0.264 6.195
Tc 1.942 4.444 0.836
Tl 0.000 0.000 0.000
Tl -3.085 2.070 3.596
```

The density of states at the Fermi level comes out at 1.03 states/eV per atom. The total energy comes out at -5.79 eV/atom.

Ho2TmTc9: relaxed, PBE.

Structure (extended XYZ):
```
12
Lattice="0.785 5.260 0.294 -1.083 2.606 4.517 8.082 1.248 4.359" Properties=species:S:1:pos:R:3 pbc="T T T"
Tc 5.482 2.857 5.947
Tc 5.885 5.562 6.098
Tc 2.302 6.258 3.223
Tc 1.898 3.552 3.072
Tc 6.442 4.222 3.775
Tc 3.892 4.557 4.585
Tc -0.098 5.227 3.242
Tc 1.341 4.892 5.395
Tc 7.881 3.887 5.928
Ho 3.228 7.274 5.999
Ho 4.556 1.840 3.171
Tm 0.000 0.000 0.000
```

The density of states at the Fermi level comes out at 1.12 states/eV per atom. The total energy comes out at -8.98 eV/atom.

Ho3Tm7Tc4: relaxed, PBE.

Structure (extended XYZ):
```
14
Lattice="3.552 0.000 0.896 1.094 8.915 3.152 -0.814 -0.058 10.717" Properties=species:S:1:pos:R:3 pbc="T T T"
Ho 2.712 7.022 11.715
Ho 0.140 4.428 6.935
Ho 1.120 1.835 3.051
Tm 2.196 1.356 6.273
Tm 2.392 6.713 5.496
Tm 1.440 2.144 9.269
Tm 2.691 3.673 11.799
Tm 1.636 7.501 8.492
Tm 1.141 5.184 2.966
Tm 0.000 0.000 0.000
Tc 2.501 3.854 5.063
Tc 3.911 8.571 6.962
Tc -0.080 0.286 7.804
Tc 1.331 5.003 9.703
```

The density of states at the Fermi level comes out at 0.77 states/eV per atom. The total energy comes out at -6.20 eV/atom.

HoTmTc: relaxed, PBE.

Structure (extended XYZ):
```
12
Lattice="-3.895 3.053 0.389 -1.600 -1.344 -5.477 -5.677 -7.694 3.547" Properties=species:S:1:pos:R:3 pbc="T T T"
Tc -9.614 -6.058 -1.208
Tc -4.804 -4.117 0.047
Tc -6.369 -1.869 -1.589
Tc -1.558 0.072 -0.333
Ho -4.981 -3.979 -2.809
Ho -6.191 -2.006 1.267
Ho -7.547 -7.597 -0.102
Ho -3.625 1.612 -1.440
Tm -3.256 -2.016 -0.944
Tm -5.497 -0.474 -3.805
Tm -5.676 -5.511 2.264
Tm -7.916 -3.969 -0.597
```

The density of states at the Fermi level comes out at 0.74 states/eV per atom. The total energy comes out at -6.43 eV/atom.

Ho2Tm2Tc: relaxed, PBE.

Structure (extended XYZ):
```
10
Lattice="3.807 0.000 0.569 1.848 5.982 0.653 0.170 0.405 11.882" Properties=species:S:1:pos:R:3 pbc="T T T"
Tc 1.371 0.465 3.843
Tc 4.453 5.922 9.261
Tm 1.766 1.769 1.205
Tm 4.059 4.618 11.899
Tm 0.939 1.432 6.734
Tm 4.885 4.954 6.370
Ho 3.253 2.476 4.275
Ho 0.449 1.272 10.014
Ho 2.572 3.910 8.830
Ho 5.375 5.115 3.090
```

The density of states at the Fermi level comes out at 1.08 states/eV per atom. The total energy comes out at -5.78 eV/atom.

Ho6Tm2Tc: relaxed, PBE.

Structure (extended XYZ):
```
9
Lattice="-0.676 2.455 -2.518 -7.017 -5.063 -0.509 3.051 8.556 7.530" Properties=species:S:1:pos:R:3 pbc="T T T"
Ho -2.590 0.310 -1.553
Ho -1.117 2.635 0.323
Ho -2.052 5.638 6.056
Ho 1.381 5.569 5.063
Ho -6.023 0.379 -0.560
Ho -3.525 3.313 4.180
Tm -3.626 0.845 1.796
Tm -1.017 5.103 2.707
Tc 0.000 0.000 0.000
```

The density of states at the Fermi level comes out at 1.29 states/eV per atom. The total energy comes out at -5.19 eV/atom.

Ho2Tm7Tc2: relaxed, PBE.

Structure (extended XYZ):
```
11
Lattice="-3.270 -1.261 0.930 -0.354 -8.007 -5.048 2.386 -7.483 5.296" Properties=species:S:1:pos:R:3 pbc="T T T"
Tm -1.635 -0.630 0.465
Tm -0.553 -10.532 -2.113
Tm 0.950 -12.587 0.386
Tm 0.827 -10.268 3.095
Tm -0.685 -6.220 3.290
Tm -2.188 -4.165 0.791
Tm -2.064 -6.484 -1.918
Ho -1.704 -10.475 0.982
Ho 0.466 -6.276 0.195
Tc 0.344 -7.874 -2.413
Tc 1.688 -7.617 2.660
```

The density of states at the Fermi level comes out at 1.19 states/eV per atom. The total energy comes out at -5.47 eV/atom.

Ho3Tm2Tc2: relaxed, PBE.

Structure (extended XYZ):
```
7
Lattice="-0.444 -0.492 -3.701 6.272 0.624 1.074 -2.659 -7.787 1.355" Properties=species:S:1:pos:R:3 pbc="T T T"
Tc 1.554 -6.127 -1.282
Tc 1.615 -1.528 0.009
Ho 3.039 -4.110 0.182
Ho 0.130 -3.544 -1.454
Ho -0.222 -0.246 -1.851
Tm 3.392 -1.385 -2.133
Tm -0.223 -6.270 0.861
```

The density of states at the Fermi level comes out at 0.71 states/eV per atom. The total energy comes out at -6.29 eV/atom.

Ho4TmTc2: relaxed, PBE.

Structure (extended XYZ):
```
14
Lattice="-2.078 5.617 1.787 0.436 2.516 -7.400 -6.975 -3.090 1.603" Properties=species:S:1:pos:R:3 pbc="T T T"
Ho -4.240 3.085 1.766
Ho -2.447 3.533 -3.047
Ho -5.950 4.017 -3.150
Ho -6.170 1.510 -0.963
Ho -2.667 1.026 -0.861
Ho -1.413 0.738 -3.936
Ho -4.377 1.957 -5.777
Ho -7.203 4.305 -0.074
Tc -4.283 1.168 -3.187
Tc -1.453 6.017 -4.210
Tc -4.333 3.874 -0.823
Tc -7.164 -0.975 0.199
Tm -1.696 4.520 0.215
Tm -6.921 0.523 -4.226
```

The density of states at the Fermi level comes out at 0.73 states/eV per atom. The total energy comes out at -6.26 eV/atom.

Ho2Tm3Tc2: relaxed, PBE.

Structure (extended XYZ):
```
7
Lattice="3.981 0.000 0.000 -1.990 5.735 -0.158 0.000 -2.854 7.764" Properties=species:S:1:pos:R:3 pbc="T T T"
Tc 1.990 1.547 6.014
Tc 0.000 1.334 1.592
Ho 0.000 -0.447 6.271
Ho 1.990 3.328 1.334
Tm 1.990 0.000 0.000
Tm 1.990 0.217 3.295
Tm 0.000 2.664 4.310
```

The density of states at the Fermi level comes out at 0.66 states/eV per atom. The total energy comes out at -6.29 eV/atom.

HoTmTc: relaxed, PBE.

Structure (extended XYZ):
```
6
Lattice="-0.754 3.856 -0.507 -1.725 0.187 3.988 7.264 2.132 5.413" Properties=species:S:1:pos:R:3 pbc="T T T"
Tm 5.722 2.757 4.717
Tm -0.937 3.418 4.177
Tc -0.457 1.206 2.117
Tc 5.242 4.969 6.777
Ho 2.152 1.861 3.215
Ho 2.633 4.314 5.679
```

The density of states at the Fermi level comes out at 1.16 states/eV per atom. The total energy comes out at -6.47 eV/atom.

HoTmTc: relaxed, PBE.

Structure (extended XYZ):
```
3
Lattice="3.447 0.000 0.000 0.000 3.447 0.000 -1.723 -1.723 6.102" Properties=species:S:1:pos:R:3 pbc="T T T"
Tm 0.000 0.000 0.438
Ho 0.000 0.000 3.642
Tc 1.723 1.723 2.022
```

The density of states at the Fermi level comes out at 1.17 states/eV per atom. The total energy comes out at -6.56 eV/atom.

Ho3Tm3ZnTc2: relaxed, PBE.

Structure (extended XYZ):
```
9
Lattice="-1.239 -1.513 3.252 0.989 -7.388 -3.060 6.045 3.563 3.960" Properties=species:S:1:pos:R:3 pbc="T T T"
Ho 0.093 -6.074 -0.577
Ho 1.352 -1.828 1.878
Ho 3.732 1.808 4.477
Tc 3.740 -0.844 3.246
Tc 2.055 -4.494 0.906
Tm 4.242 -2.306 0.543
Tm 0.393 -2.933 -1.215
Tm 2.400 1.414 1.572
Zn 0.000 0.000 0.000
```

The density of states at the Fermi level comes out at 0.98 states/eV per atom. The total energy comes out at -5.49 eV/atom.

HoTmZnTc: relaxed, PBE.

Structure (extended XYZ):
```
4
Lattice="4.882 0.000 0.000 2.441 4.228 0.000 2.441 1.409 3.986" Properties=species:S:1:pos:R:3 pbc="T T T"
Tc 2.441 1.409 0.997
Zn 7.323 4.228 2.990
Tm 4.882 2.819 1.993
Ho 0.000 0.000 0.000
```

The density of states at the Fermi level comes out at 0.69 states/eV per atom. The total energy comes out at -5.35 eV/atom.

HoUTc2: relaxed, PBE.

Structure (extended XYZ):
```
4
Lattice="4.791 0.000 0.000 2.395 4.149 0.000 2.395 1.383 3.912" Properties=species:S:1:pos:R:3 pbc="T T T"
Ho 0.000 0.000 0.000
Tc 2.395 1.383 0.978
Tc 7.186 4.149 2.934
U 4.791 2.766 1.956
```

The density of states at the Fermi level comes out at 1.84 states/eV per atom. The total energy comes out at -9.13 eV/atom.

Number 1: V 259.21 Å³/cell, energy of formation from the pure elements -187 meV per atom, size of the total moment 0.00 Bohr magnetons per cell. Number 2: V 420.81 Å³/cell, energy of formation from the pure elements -225 meV per atom, size of the total moment 0.00 Bohr magnetons per cell. Number 3: V 414.51 Å³/cell, energy of formation from the pure elements -157 meV per atom, size of the total moment 0.00 Bohr magnetons per cell. Number 4: V 561.36 Å³/cell, energy of formation from the pure elements -97 meV per atom, size of the total moment 0.00 Bohr magnetons per cell. Number 5: V 95.14 Å³/cell, energy of formation from the pure elements -197 meV per atom, size of the total moment 0.00 Bohr magnetons per cell. Number 6: V 109.89 Å³/cell, energy of formation from the pure elements 150 meV per atom, size of the total moment 0.00 Bohr magnetons per cell. Number 7: V 333.03 Å³/cell, energy of formation from the pure elements -226 meV per atom, size of the total moment 0.00 Bohr magnetons per cell. Number 8: V 471.89 Å³/cell, energy of formation from the pure elements -168 meV per atom, size of the total moment 0.00 Bohr magnetons per cell. Number 9: V 214.80 Å³/cell, energy of formation from the pure elements -67 meV per atom, size of the total moment 0.00 Bohr magnetons per cell. Number 10: V 346.47 Å³/cell, energy of formation from the pure elements -20 meV per atom, size of the total moment 0.00 Bohr magnetons per cell. Number 11: V 296.82 Å³/cell, energy of formation from the pure elements 37 meV per atom, size of the total moment 0.00 Bohr magnetons per cell. Number 12: V 269.40 Å³/cell, energy of formation from the pure elements -89 meV per atom, size of the total moment 0.00 Bohr magnetons per cell. Number 13: V 261.01 Å³/cell, energy of formation from the pure elements 8 meV per atom, size of the total moment 0.00 Bohr magnetons per cell. Number 14: V 295.23 Å³/cell, energy of formation from the pure elements 92 meV per atom, size of the total moment 0.00 Bohr magnetons per cell. Number 15: V 176.14 Å³/cell, energy of formation from the pure elements -92 meV per atom, size of the total moment 0.00 Bohr magnetons per cell. Number 16: V 354.08 Å³/cell, energy of formation from the pure elements -40 meV per atom, size of the total moment 0.00 Bohr magnetons per cell. Number 17: V 175.46 Å³/cell, energy of formation from the pure elements -104 meV per atom, size of the total moment 0.00 Bohr magnetons per cell. Number 18: V 155.88 Å³/cell, energy of formation from the pure elements 2 meV per atom, size of the total moment 0.00 Bohr magnetons per cell. Number 19: V 72.49 Å³/cell, energy of formation from the pure elements -89 meV per atom, size of the total moment 0.00 Bohr magnetons per cell. Number 20: V 213.35 Å³/cell, energy of formation from the pure elements -30 meV per atom, size of the total moment 0.00 Bohr magnetons per cell. Number 21: V 82.28 Å³/cell, energy of formation from the pure elements -178 meV per atom, size of the total moment 0.00 Bohr magnetons per cell. Number 22: V 77.75 Å³/cell, energy of formation from the pure elements 18 meV per atom, size of the total moment 0.91 Bohr magnetons per cell.